1.
Density functional theory data (PBE) for a geometry-optimized TiGa2H6 structure.

Uncorrected energy in Ry/atom: -0.2603
SG: Fm-3m

a b c (Å): 4.7686 4.7686 4.7686
angles (deg): 60.00 60.00 60.00
Closest atoms and distances in Å follow each position.
Atoms (fractional coordinates):
Ti  0.0000  0.0000  0.0000  6 H 1.79
Ga  0.2500  0.2500  0.2500  12 H 2.39
Ga  0.7500  0.7500  0.7500  12 H 2.39
H  0.2657  0.2657  0.7343  1 Ti 1.79
H  0.2657  0.7343  0.2657  1 Ti 1.79
H  0.2657  0.7343  0.7343  1 Ti 1.79
H  0.7343  0.2657  0.2657  1 Ti 1.79
H  0.7343  0.2657  0.7343  1 Ti 1.79
H  0.7343  0.7343  0.2657  1 Ti 1.79

2.
Density functional theory data (PBE) for a geometry-optimized Ti6GaH2 structure.

Uncorrected energy in Ry/atom: -0.4737
SG: C2/m

a b c (Å): 5.4130 5.4130 8.0338
angles (deg): 124.43 124.43 44.95
Closest atoms and distances in Å follow each position.
Atoms (fractional coordinates):
Ti  0.0287  0.0287  0.3533  2 H 2.07
Ti  0.3258  0.3258  0.3414  2 H 1.89-2.04
Ti  0.3328  0.3328  0.9865  1 H 2.23
Ti  0.6672  0.6672  0.0135  1 H 2.23
Ti  0.6742  0.6742  0.6586  2 H 1.89-2.04
Ti  0.9713  0.9713  0.6467  2 H 2.07
Ga  0.0000  0.0000  0.0000  8 Ti 2.62-2.68
H  0.4866  0.4866  0.6620  4 Ti 1.89-2.07
H  0.5134  0.5134  0.3380  4 Ti 1.89-2.07

3.
Density functional theory data (PBE) for a geometry-optimized Ti4Ga2H structure.

Offset from the most stable computed form in eV per formula unit: 0.00
Uncorrected energy in Ry/atom: -0.4587
SG: P2_1/m

a b c (Å): 4.8891 5.5101 7.6020
angles (deg): 90.00 98.78 90.00
Closest atoms and distances in Å follow each position.
Atoms (fractional coordinates):
Ti  0.1675  0.2500  0.0697  1 H 1.95
Ti  0.2168  0.7500  0.3682  1 H 1.90
Ti  0.2987  0.5120  0.7240  1 H 1.91
Ti  0.2987  0.9880  0.7240  1 H 1.91
Ti  0.7013  0.0120  0.2760  1 H 1.91
Ti  0.7013  0.4880  0.2760  1 H 1.91
Ti  0.7832  0.2500  0.6318  1 H 1.90
Ti  0.8325  0.7500  0.9303  1 H 1.95
Ga  0.2334  0.2500  0.4140  5 Ti 2.59-2.78
Ga  0.3477  0.7500  0.0418  7 Ti 2.53-2.73, 2 H 2.61-2.76
Ga  0.6523  0.2500  0.9582  7 Ti 2.53-2.73, 2 H 2.61-2.76
Ga  0.7666  0.7500  0.5860  5 Ti 2.59-2.78
H  0.1010  0.2500  0.8103  4 Ti 1.90-1.95
H  0.8990  0.7500  0.1897  4 Ti 1.90-1.95

4.
Density functional theory data (PBE) for a geometry-optimized TiGa3H structure.

Offset from the most stable computed form in eV per formula unit: 4.90
Uncorrected energy in Ry/atom: -0.2292
SG: Pm-3m

a b c (Å): 5.1090 5.1090 5.1090
angles (deg): 90.00 90.00 90.00
Closest atoms and distances in Å follow each position.
Atoms (fractional coordinates):
Ti  0.0000  0.0000  0.0000  6 Ga 2.55
Ga  0.0000  0.0000  0.5000  2 Ti 2.55
Ga  0.0000  0.5000  0.0000  2 Ti 2.55
Ga  0.5000  0.0000  0.0000  2 Ti 2.55
H  0.5000  0.5000  0.5000  12 Ga 3.61

5.
Density functional theory data (PBE) for a geometry-optimized Ti7GaH5 structure.

Uncorrected energy in Ry/atom: -0.4349
SG: Imm2

a b c (Å): 6.1475 6.1475 6.1475
angles (deg): 136.94 102.40 93.13
Closest atoms and distances in Å follow each position.
Atoms (fractional coordinates):
Ti  0.0000  0.0000  0.0000  5 Ti 2.54-2.76, 4 H 2.70
Ti  0.3266  0.3266  0.0000  6 H 2.14-2.26
Ti  0.3338  0.6637  0.6701  3 H 1.95-2.00
Ti  0.3369  0.0067  0.3302  3 H 1.95-1.96
Ti  0.6764  0.0067  0.6698  3 H 1.95-1.96
Ti  0.8286  0.3286  0.5000  4 H 2.24
Ti  0.9936  0.6637  0.3299  3 H 1.95-2.00
Ga  0.6426  0.6426  0.0000  9 Ti 2.55-2.85
H  0.0965  0.1090  0.5278  3 Ti 1.95-2.14, 1 H 2.07
H  0.0965  0.5687  0.9876  3 Ti 1.95-2.14, 1 H 2.07
H  0.3340  0.8340  0.5000  4 Ti 1.95-1.96
H  0.5812  0.1090  0.0124  3 Ti 1.95-2.14, 1 H 2.07
H  0.5812  0.5687  0.4722  3 Ti 1.95-2.14, 1 H 2.07

6.
Density functional theory data (PBE) for a geometry-optimized Ti3GaH structure.

Uncorrected energy in Ry/atom: -0.4481
SG: I-4m2

a b c (Å): 6.2293 6.2293 6.2293
angles (deg): 128.50 128.50 75.82
Closest atoms and distances in Å follow each position.
Atoms (fractional coordinates):
Ti  0.1289  0.1289  0.0000  3 Ti 2.53-2.76, 2 Ga 2.71
Ti  0.3733  0.1210  0.7477  2 H 1.81-1.85
Ti  0.3733  0.6257  0.2523  2 H 1.81-1.85
Ti  0.3743  0.6267  0.7477  2 H 1.81-1.85
Ti  0.8711  0.8711  0.0000  3 Ti 2.53-2.76, 2 Ga 2.71
Ti  0.8790  0.6267  0.2523  2 H 1.81-1.85
Ga  0.6169  0.1169  0.5000  1 Ga 2.62, 4 Ti 2.71-2.74
Ga  0.8831  0.3831  0.5000  1 Ga 2.62, 4 Ti 2.71-2.74
H  0.2500  0.7500  0.5000  4 Ti 1.81
H  0.5000  0.5000  0.0000  4 Ti 1.85

7.
Density functional theory data (PBE) for a geometry-optimized Ti3GaH structure.

Uncorrected energy in Ry/atom: -0.4578
SG: C2/m

a b c (Å): 7.4675 7.4675 6.8127
angles (deg): 94.97 94.97 21.87
Closest atoms and distances in Å follow each position.
Atoms (fractional coordinates):
Ti  0.0163  0.0163  0.2133  1 H 1.84
Ti  0.2088  0.2088  0.3278  1 H 1.89
Ti  0.3389  0.3389  0.0516  2 H 1.85
Ti  0.6611  0.6611  0.9484  2 H 1.85
Ti  0.7912  0.7912  0.6722  1 H 1.89
Ti  0.9837  0.9837  0.7867  1 H 1.84
Ga  0.4025  0.4025  0.4455  8 Ti 2.74-2.89, 3 Ga 2.83-2.89
Ga  0.5975  0.5975  0.5545  8 Ti 2.74-2.89, 3 Ga 2.83-2.89
H  0.1258  0.1258  0.0991  4 Ti 1.84-1.89
H  0.8742  0.8742  0.9009  4 Ti 1.84-1.89

8.
Density functional theory data (PBE) for a geometry-optimized Ti3GaH structure.

Uncorrected energy in Ry/atom: -0.4611
SG: C2/c

a b c (Å): 7.3698 7.3698 5.1503
angles (deg): 92.94 92.94 100.31
Closest atoms and distances in Å follow each position.
Atoms (fractional coordinates):
Ti  0.0703  0.1963  0.6206  3 H 2.06-2.20
Ti  0.0749  0.6813  0.9048  2 H 2.04-2.08
Ti  0.1932  0.5529  0.4470  1 H 2.17
Ti  0.1963  0.0703  0.1206  3 H 2.06-2.20
Ti  0.3187  0.9251  0.5952  2 H 2.04-2.08
Ti  0.4471  0.8068  0.0530  1 H 2.17
Ti  0.5529  0.1932  0.9470  1 H 2.17
Ti  0.6813  0.0749  0.4048  2 H 2.04-2.08
Ti  0.8037  0.9297  0.8794  3 H 2.06-2.20
Ti  0.8068  0.4471  0.5530  1 H 2.17
Ti  0.9251  0.3187  0.0952  2 H 2.04-2.08
Ti  0.9297  0.8037  0.3794  3 H 2.06-2.20
Ga  0.3028  0.4302  0.9649  8 Ti 2.71-2.98, 3 Ga 2.90-2.95
Ga  0.4302  0.3028  0.4649  8 Ti 2.71-2.98, 3 Ga 2.90-2.95
Ga  0.5698  0.6972  0.5351  8 Ti 2.71-2.98, 3 Ga 2.90-2.95
Ga  0.6972  0.5698  0.0351  8 Ti 2.71-2.98, 3 Ga 2.90-2.95
H  0.0648  0.9352  0.7500  6 Ti 2.06-2.20
H  0.1937  0.8063  0.2500  6 Ti 2.04-2.17
H  0.8063  0.1937  0.7500  6 Ti 2.04-2.17
H  0.9352  0.0648  0.2500  6 Ti 2.06-2.20

9.
Density functional theory data (PBE) for a geometry-optimized Ti3GaH structure.

Uncorrected energy in Ry/atom: -0.4702
SG: Cmcm

a b c (Å): 5.1734 5.1734 5.5448
angles (deg): 90.00 90.00 115.03
Closest atoms and distances in Å follow each position.
Atoms (fractional coordinates):
Ti  0.2435  0.2435  0.0000  2 H 2.02
Ti  0.2435  0.2435  0.5000  2 H 2.02
Ti  0.2448  0.7552  0.7500  1 H 1.87
Ti  0.7552  0.2448  0.2500  1 H 1.87
Ti  0.7565  0.7565  0.0000  2 H 2.02
Ti  0.7565  0.7565  0.5000  2 H 2.02
Ga  0.2434  0.7566  0.2500  1 H 2.60, 8 Ti 2.77-2.88
Ga  0.7566  0.2434  0.7500  1 H 2.60, 8 Ti 2.77-2.88
H  0.4585  0.5415  0.7500  5 Ti 1.87-2.02
H  0.5415  0.4585  0.2500  5 Ti 1.87-2.02

10.
Density functional theory data (PBE) for a geometry-optimized Ti4Ga3H structure.

Uncorrected energy in Ry/atom: -0.4182
SG: Pmmn

a b c (Å): 4.0769 8.3116 7.2786
angles (deg): 90.00 90.00 90.00
Closest atoms and distances in Å follow each position.
Atoms (fractional coordinates):
Ti  0.2500  0.0110  0.1399  1 H 2.17
Ti  0.2500  0.2500  0.8462  2 H 2.04
Ti  0.2500  0.4890  0.1399  1 H 2.17
Ti  0.2500  0.7500  0.8737  1 H 1.98
Ti  0.7500  0.2500  0.1263  1 H 1.98
Ti  0.7500  0.5110  0.8601  1 H 2.17
Ti  0.7500  0.7500  0.1538  2 H 2.04
Ti  0.7500  0.9890  0.8601  1 H 2.17
Ga  0.2500  0.2500  0.4179  6 Ga 2.59-2.85, 2 Ti 2.84
Ga  0.2500  0.5122  0.6100  5 Ga 2.59-2.85, 4 Ti 2.73-2.78
Ga  0.2500  0.9878  0.6100  5 Ga 2.59-2.85, 4 Ti 2.73-2.78
Ga  0.7500  0.0122  0.3900  5 Ga 2.59-2.85, 4 Ti 2.73-2.78
Ga  0.7500  0.4878  0.3900  5 Ga 2.59-2.85, 4 Ti 2.73-2.78
Ga  0.7500  0.7500  0.5821  6 Ga 2.59-2.85, 2 Ti 2.84
H  0.2500  0.7500  0.1463  5 Ti 1.98-2.17
H  0.7500  0.2500  0.8537  5 Ti 1.98-2.17

11.
Density functional theory data (PBE) for a geometry-optimized Ti3GaH structure.

Uncorrected energy in Ry/atom: -0.4529
SG: Cmcm

a b c (Å): 5.4773 5.4773 5.6666
angles (deg): 90.00 90.00 123.51
Closest atoms and distances in Å follow each position.
Atoms (fractional coordinates):
Ti  0.0000  0.0000  0.0000  2 H 1.85
Ti  0.0000  0.0000  0.5000  2 H 1.85
Ti  0.0146  0.4850  0.2500  1 H 1.88
Ti  0.4850  0.0146  0.7500  1 H 1.88
Ti  0.5150  0.9854  0.2500  1 H 1.88
Ti  0.9854  0.5150  0.7500  1 H 1.88
Ga  0.4824  0.5176  0.7500  8 Ti 2.71-2.96, 2 H 2.79, 2 Ga 2.85
Ga  0.5176  0.4824  0.2500  8 Ti 2.71-2.96, 2 H 2.79, 2 Ga 2.85
H  0.1241  0.8759  0.2500  4 Ti 1.85-1.88
H  0.8759  0.1241  0.7500  4 Ti 1.85-1.88

12.
Density functional theory data (PBE) for a geometry-optimized Ti12Ga5H2 structure.

Uncorrected energy in Ry/atom: -0.4657
SG: C2/m

a b c (Å): 7.3951 7.3951 7.4877
angles (deg): 91.63 91.63 45.43
Closest atoms and distances in Å follow each position.
Atoms (fractional coordinates):
Ti  0.0076  0.0076  0.2399  2 H 2.36
Ti  0.0901  0.6164  0.0579  4 Ga 2.55-2.84, 2 Ti 2.71-2.82
Ti  0.1026  0.6094  0.4558  1 H 1.98
Ti  0.3836  0.9099  0.9421  4 Ga 2.55-2.84, 2 Ti 2.71-2.82
Ti  0.3906  0.8974  0.5442  1 H 1.98
Ti  0.4903  0.4903  0.6734  2 H 2.02
Ti  0.5097  0.5097  0.3266  2 H 2.02
Ti  0.6094  0.1026  0.4558  1 H 1.98
Ti  0.6164  0.0901  0.0579  4 Ga 2.55-2.84, 2 Ti 2.71-2.82
Ti  0.8974  0.3906  0.5442  1 H 1.98
Ti  0.9099  0.3836  0.9421  4 Ga 2.55-2.84, 2 Ti 2.71-2.82
Ti  0.9924  0.9924  0.7601  2 H 2.36
Ga  0.2118  0.2118  0.2492  9 Ti 2.79-2.86, 2 Ga 2.86
Ga  0.2932  0.2932  0.7515  9 Ti 2.77-2.89, 2 Ga 2.86
Ga  0.5000  0.5000  0.0000  6 Ti 2.45-2.55
Ga  0.7068  0.7068  0.2485  9 Ti 2.77-2.89, 2 Ga 2.86
Ga  0.7882  0.7882  0.7508  9 Ti 2.79-2.86, 2 Ga 2.86
H  0.2310  0.7690  0.5000  4 Ti 1.98-2.02
H  0.7690  0.2310  0.5000  4 Ti 1.98-2.02

V list, top to bottom, in Å³/atom: 8.52, 14.62, 14.46, 26.67, 11.30, 14.40, 14.10, 13.72, 13.45, 15.41, 14.18, 15.35
Mass density list, top to bottom, in Mg/m³: 4.2, 4.5, 5.4, 3.2, 4.6, 4.9, 5.0, 5.2, 5.3, 5.4, 5.0, 5.3
M_tot list, top to bottom, in μB per formula unit: 0.284, 0.001, 0.551, 3.634, 0.001, 0.000, 0.000, 0.000, 0.000, 0.000, 0.000, 0.000